DFT (PBEsol) results for a geometry-optimized TiPI2O structure.

```
TiPI2O
1.0
3.6791 0.0000 0.0000
0.0000 5.4786 0.0000
0.0000 0.0000 5.4786
I P Ti O
2 1 1 1
Direct
0.0000 0.5000 0.0000
0.0000 0.0000 0.5000
0.5000 0.5000 0.5000
0.0000 0.0000 0.0000
0.5000 0.0000 0.0000
```

Summary:
- E: -25.41 eV/cell
- Formation energy from raw total energies: -0.5024 eV per atom
- SG: P4/mmm (123)
- Calculated volume: 22.09 Å³/atom

DFT (PBEsol) results for a geometry-optimized TaTe2As structure.

```
TaTe2As
1.0
-2.3423 1.2712 -2.1384
1.9072 -2.4438 -3.5419
-3.1837 -4.0497 1.0799
Ta As Te
1 1 2
Direct
0.0000 0.5000 0.5000
0.5000 0.5000 0.0000
0.0000 0.0000 0.0000
0.5000 0.0000 0.5000
```

Summary:
- E: -22.68 eV/cell
- Formation energy from raw total energies: 0.5076 eV per atom
- SG: Pmmm (47)
- Calculated volume: 21.16 Å³/atom

DFT (PBEsol) results for a geometry-optimized B3SbPt structure.

```
B3SbPt
1.0
-2.8164 2.9168 1.5777
0.0502 -2.0321 3.8467
3.3158 2.5084 1.2818
B Pt Sb
3 1 1
Direct
0.0000 0.0000 0.5000
0.5000 0.0000 0.0000
0.0000 0.5000 0.0000
0.5000 0.5000 0.5000
0.0000 0.0000 0.0000
```

Summary:
- E: -20.59 eV/cell
- Formation energy from raw total energies: 2.3953 eV per atom
- SG: Pm-3m (221)
- Calculated volume: 16.47 Å³/atom

DFT (PBEsol) results for a geometry-optimized YNbTl2F structure.

```
YNbTl2F
1.0
4.0165 0.0000 0.0000
0.0000 5.7957 0.0000
0.0000 0.0000 5.7957
F Tl Nb Y
1 2 1 1
Direct
0.5000 0.0000 0.0000
0.0000 0.0000 0.5000
0.0000 0.5000 0.0000
0.5000 0.5000 0.5000
0.0000 0.0000 0.0000
```

Summary:
- E: -25.02 eV/cell
- Formation energy from raw total energies: -0.0377 eV per atom
- SG: P4/mmm (123)
- Calculated volume: 26.98 Å³/atom

DFT (PBEsol) results for a geometry-optimized Li7CuSi2O8 structure.

```
Li7CuSi2O8
1.0
-0.2512 -2.4611 -5.7590
-6.2335 -4.0464 2.0011
-4.0757 7.1518 0.5323
O Li Si Cu
16 14 4 2
Direct
0.8211 0.6166 0.2107
0.0155 0.7755 0.6000
0.9488 0.7592 0.8975
0.8695 0.0590 0.7389
0.1789 0.3834 0.7893
0.1305 0.9410 0.2611
0.5367 0.2598 0.0734
0.5845 0.7755 0.6000
0.6164 0.9115 0.2327
0.4633 0.7402 0.9266
0.9845 0.2245 0.4000
0.3896 0.6166 0.2107
0.0512 0.2408 0.1025
0.4155 0.2245 0.4000
0.3836 0.0885 0.7673
0.6104 0.3834 0.7893
0.3484 0.8505 0.6968
0.5000 0.0000 0.0000
0.9373 0.8435 0.3633
0.9319 0.2986 0.8639
0.0681 0.7014 0.1361
0.0000 0.0000 0.0000
0.6516 0.1495 0.3032
0.3446 0.3745 0.1755
0.1691 0.6255 0.8245
0.8309 0.3745 0.1755
0.6554 0.6255 0.8245
0.5739 0.1565 0.6367
0.0627 0.1565 0.6367
0.4261 0.8435 0.3633
0.4311 0.2860 0.8622
0.1476 0.1525 0.2951
0.8524 0.8475 0.7049
0.5689 0.7140 0.1378
0.2755 0.4010 0.5510
0.7245 0.5990 0.4490
```

Summary:
- E: -220.52 eV/cell
- Formation energy from raw total energies: -2.1484 eV per atom
- SG: C2/m (12)
- Calculated volume: 10.22 Å³/atom

DFT (PBEsol) results for a geometry-optimized Zn3HgB structure.

```
Zn3HgB
1.0
-1.9208 0.6884 -4.4042
1.4694 -4.4298 -1.3332
-4.2085 -1.8608 1.5446
Zn Hg B
3 1 1
Direct
0.5000 0.0000 0.0000
0.0000 0.5000 0.0000
0.0000 0.0000 0.5000
0.0000 0.0000 0.0000
0.5000 0.5000 0.5000
```

Summary:
- E: -5.40 eV/cell
- SG: Pm-3m (221)
- Calculated volume: 22.87 Å³/atom
- Calculated formation energy: 1386 meV per atom

DFT (PBEsol) results for a geometry-optimized K2GaAgF6 structure.

```
K2GaAgF6
1.0
6.0102 0.0000 0.0000
3.0051 5.2050 0.0000
3.0051 1.7350 4.9073
F K Ag Ga
6 2 1 1
Direct
0.2237 0.7763 0.7763
0.2237 0.2237 0.7763
0.7763 0.2237 0.7763
0.7763 0.7763 0.2237
0.7763 0.2237 0.2237
0.2237 0.7763 0.2237
0.2500 0.2500 0.2500
0.7500 0.7500 0.7500
0.5000 0.5000 0.5000
0.0000 0.0000 0.0000
```

Summary:
- E: -44.70 eV/cell
- Formation energy from raw total energies: -2.4217 eV per atom
- SG: Fm-3m (225)
- Calculated volume: 15.35 Å³/atom

DFT (PBEsol) results for a geometry-optimized Sb3PdBr structure.

```
Sb3PdBr
1.0
-3.9225 -1.3341 3.1348
-1.3085 -3.8240 -3.2646
3.1456 -3.2542 2.5511
Pd Sb Br
1 3 1
Direct
0.0000 0.0000 0.0000
0.5000 0.0000 0.0000
0.0000 0.5000 0.0000
0.0000 0.0000 0.5000
0.5000 0.5000 0.5000
```

Summary:
- E: -19.76 eV/cell
- Formation energy from raw total energies: 0.3490 eV per atom
- SG: Pm-3m (221)
- Calculated volume: 28.05 Å³/atom

DFT (PBEsol) results for a geometry-optimized La4HgIr structure.

```
La4HgIr
1.0
-0.0299 2.0896 5.7166
-5.2124 0.2115 3.1357
-0.9197 -3.8340 4.6369
Hg La Ir
1 4 1
Direct
0.7500 0.7500 0.7500
0.3738 0.3738 0.3738
0.3738 0.3738 0.8785
0.3738 0.8785 0.3738
0.8785 0.3738 0.3738
0.0000 0.0000 0.0000
```

Summary:
- E: -28.86 eV/cell
- SG: F-43m (216)
- Calculated volume: 26.57 Å³/atom
- Calculated formation energy: 485 meV per atom

DFT (PBEsol) results for a geometry-optimized KTe2Se structure.

```
KTe2Se
1.0
4.4484 0.0000 0.0000
0.0000 4.4519 0.0000
0.0000 0.0000 7.0670
Se K Te
1 1 2
Direct
0.5000 0.5000 0.7045
0.0000 0.0000 0.6223
0.0000 0.0000 0.1160
0.5000 0.5000 0.0573
```

Summary:
- E: -13.77 eV/cell
- Formation energy from raw total energies: -0.4346 eV per atom
- SG: P4mm (99)
- Calculated volume: 34.99 Å³/atom

DFT (PBEsol) results for a geometry-optimized MgNbFeSb2 structure.

```
MgNbFeSb2
1.0
-1.1410 -4.9977 0.9915
5.0234 -1.2733 -0.6371
0.8534 0.8164 5.0970
Nb Mg Fe Sb
1 1 1 2
Direct
0.0000 0.0000 0.0000
0.0000 0.0000 0.5000
0.5000 0.5000 0.5000
0.5000 0.0000 0.0000
0.0000 0.5000 0.0000
```

Summary:
- E: -25.07 eV/cell
- Formation energy from raw total energies: 1.1084 eV per atom
- SG: P4/mmm (123)
- Calculated volume: 28.53 Å³/atom

DFT (PBEsol) results for a geometry-optimized LaHgGe3 structure.

```
LaHgGe3
1.0
5.1049 0.0000 0.0000
0.0000 5.1049 0.0000
0.0000 0.0000 5.1049
Ge Hg La
3 1 1
Direct
0.5000 0.0000 0.0000
0.0000 0.5000 0.0000
0.0000 0.0000 0.5000
0.0000 0.0000 0.0000
0.5000 0.5000 0.5000
```

Summary:
- E: -19.28 eV/cell
- SG: Pm-3m (221)
- Calculated volume: 26.61 Å³/atom
- Calculated formation energy: 290 meV per atom

DFT (PBEsol) results for a geometry-optimized Y5Ge4 structure.

```
Y5Ge4
1.0
7.5467 0.0000 0.0000
0.0000 7.6405 0.0000
0.0000 0.0000 14.5278
Y Ge
20 16
Direct
0.6264 0.8381 0.3819
0.8736 0.3381 0.8819
0.8736 0.3381 0.6181
0.2082 0.4991 0.7500
0.9783 0.1779 0.4000
0.2918 0.9991 0.2500
0.1264 0.6619 0.3819
0.9783 0.1779 0.1000
0.4783 0.3221 0.1000
0.5217 0.6779 0.6000
0.4783 0.3221 0.4000
0.3736 0.1619 0.6181
0.0217 0.8221 0.9000
0.7918 0.5009 0.2500
0.7082 0.0009 0.7500
0.6264 0.8381 0.1181
0.1264 0.6619 0.1181
0.5217 0.6779 0.9000
0.0217 0.8221 0.6000
0.3736 0.1619 0.8819
0.7854 0.5345 0.4565
0.7146 0.0345 0.9565
0.2146 0.4655 0.9565
0.1732 0.3629 0.2500
0.4229 0.6158 0.2500
0.9229 0.8842 0.2500
0.3268 0.8629 0.7500
0.0771 0.1158 0.7500
0.7146 0.0345 0.5435
0.2146 0.4655 0.5435
0.2854 0.9655 0.0435
0.8268 0.6371 0.7500
0.5771 0.3842 0.7500
0.7854 0.5345 0.0435
0.6732 0.1371 0.2500
0.2854 0.9655 0.4565
```

Summary:
- E: -249.32 eV/cell
- SG: Pnma (62)
- Calculated volume: 23.27 Å³/atom
- Calculated formation energy: -940 meV per atom

DFT (PBEsol) results for a geometry-optimized DyTa5Ag2O15 structure.

```
DyTa5Ag2O15
1.0
-0.1611 -0.6062 -3.8338
12.4365 0.1316 -0.5434
0.2146 -12.2958 1.9352
O Dy Ag Ta
30 2 4 10
Direct
0.5000 0.5785 0.6867
0.0000 0.2742 0.2258
0.0000 0.0017 0.3405
0.0000 0.4429 0.6298
0.0000 0.2258 0.7258
0.0000 0.0571 0.1298
0.5000 0.5000 0.0000
0.5000 0.3133 0.5785
0.0000 0.7742 0.2742
0.0000 0.3405 0.9983
0.0000 0.6298 0.5571
0.0000 0.8405 0.5017
0.5000 0.4215 0.3133
0.0000 0.8702 0.0571
0.5000 0.6867 0.4215
0.5000 0.9215 0.1867
0.0000 0.6595 0.0017
0.0000 0.9983 0.6595
0.5000 0.0000 0.5000
0.0000 0.5017 0.1595
0.5000 0.8133 0.9215
0.0000 0.9429 0.8702
0.0000 0.1298 0.9429
0.0000 0.5571 0.3702
0.0000 0.3702 0.4429
0.0000 0.4983 0.8405
0.0000 0.1595 0.4983
0.0000 0.7258 0.7742
0.5000 0.1867 0.0785
0.5000 0.0785 0.8133
0.5000 0.0000 0.0000
0.5000 0.5000 0.5000
0.5000 0.1570 0.3430
0.5000 0.8430 0.6570
0.5000 0.6570 0.1570
0.5000 0.3430 0.8430
0.0000 0.2907 0.5812
0.0000 0.5000 0.0000
0.0000 0.2093 0.0812
0.0000 0.0812 0.7907
0.0000 0.5812 0.7093
0.0000 0.0000 0.5000
0.0000 0.7093 0.4188
0.0000 0.4188 0.2907
0.0000 0.9188 0.2093
0.0000 0.7907 0.9188
```

Summary:
- E: -422.58 eV/cell
- Formation energy from raw total energies: -2.5301 eV per atom
- SG: P4/mbm (127)
- Calculated volume: 13.09 Å³/atom

DFT (PBEsol) results for a geometry-optimized Zn3AsPt structure.

```
Zn3AsPt
1.0
4.5980 0.0000 0.0000
0.0000 4.5980 0.0000
0.0000 0.0000 4.5980
As Zn Pt
1 3 1
Direct
0.0000 0.0000 0.0000
0.5000 0.0000 0.0000
0.0000 0.5000 0.0000
0.0000 0.0000 0.5000
0.5000 0.5000 0.5000
```

Summary:
- Offset from the most stable computed form: 0.360 eV per atom
- E: -13.33 eV/cell
- SG: Pm-3m (221)
- Calculated volume: 19.44 Å³/atom
- Calculated formation energy: 696 meV per atom

DFT (PBEsol) results for a geometry-optimized MgZrTc2 structure.

```
MgZrTc2
1.0
-0.0181 1.6505 -2.7114
3.6180 -2.3198 -1.4364
-4.5912 -2.8354 0.1628
Zr Mg Tc
1 1 2
Direct
0.4849 0.4849 0.9698
0.2637 0.7637 0.5275
0.0198 0.0198 0.0395
0.7316 0.2316 0.4632
```

Summary:
- E: -33.27 eV/cell
- SG: Imm2 (44)
- Calculated volume: 16.67 Å³/atom
- Calculated formation energy: 18 meV per atom

DFT (PBEsol) results for a geometry-optimized CrSbTe2F structure.

```
CrSbTe2F
1.0
4.3438 0.0000 0.0000
0.0000 5.2307 0.0000
0.0000 0.0000 5.2307
F Cr Te Sb
1 1 2 1
Direct
0.0000 0.0000 0.0000
0.5000 0.5000 0.5000
0.0000 0.5000 0.0000
0.0000 0.0000 0.5000
0.5000 0.0000 0.0000
```

Summary:
- E: -22.62 eV/cell
- Formation energy from raw total energies: 0.2315 eV per atom
- SG: P4/mmm (123)
- Calculated volume: 23.77 Å³/atom

DFT (PBEsol) results for a geometry-optimized KScCd2 structure.

```
KScCd2
1.0
3.2874 0.0000 0.0000
0.0000 5.4226 0.0000
0.0000 0.0000 5.5886
K Cd Sc
1 2 1
Direct
0.5000 0.0000 0.5815
0.0000 0.5000 0.6856
0.0000 0.0000 0.0809
0.5000 0.5000 0.1520
```

Summary:
- Offset from the most stable computed form: 0.000 eV per atom
- E: -9.99 eV/cell
- SG: Pmm2 (25)
- Calculated volume: 24.91 Å³/atom
- Calculated formation energy: 35 meV per atom

DFT (PBEsol) results for a geometry-optimized AlAu structure.

```
AlAu
1.0
-0.5421 -2.8015 0.9763
1.6000 -2.3126 -1.0896
6.0350 -0.6652 6.1003
Au Al
2 2
Direct
0.3799 0.3799 0.8602
0.6201 0.6201 0.1398
0.8764 0.8764 0.3707
0.1236 0.1236 0.6293
```

Summary:
- E: -16.85 eV/cell
- SG: R-3m (166)
- Calculated volume: 16.60 Å³/atom
- Calculated formation energy: -205 meV per atom

DFT (PBEsol) results for a geometry-optimized Ca2VSbO6 structure.

```
Ca2VSbO6
1.0
-5.2278 0.7371 1.1934
-1.3569 -0.9628 -5.3424
-0.7052 -7.4722 1.5258
Sb O Ca V
2 12 4 2
Direct
0.0000 0.5000 0.5000
0.0000 0.5000 0.0000
0.1929 0.2040 0.5488
0.7009 0.3043 0.0461
0.4292 0.9812 0.2500
0.2991 0.6957 0.9539
0.1039 0.4661 0.2500
0.8071 0.7960 0.4512
0.8961 0.5339 0.7500
0.1929 0.2040 0.9512
0.8071 0.7960 0.0488
0.7009 0.3043 0.4539
0.5708 0.0188 0.7500
0.2991 0.6957 0.5461
0.9940 0.0450 0.2500
0.5182 0.5666 0.2500
0.4818 0.4334 0.7500
0.0060 0.9550 0.7500
0.5000 0.0000 0.5000
0.5000 0.0000 0.0000
```

Summary:
- E: -147.77 eV/cell
- Formation energy from raw total energies: -2.3932 eV per atom
- SG: P2_1/m (11)
- Calculated volume: 11.60 Å³/atom

DFT (PBEsol) results for a geometry-optimized KCoRuRh2 structure.

```
KCoRuRh2
1.0
-3.5998 -2.4965 -1.3562
2.7479 -3.6155 -0.6382
-0.8166 -1.4862 4.9034
K Rh Co Ru
1 2 1 1
Direct
0.0000 0.0000 0.5000
0.0000 0.5000 0.0000
0.5000 0.0000 0.0000
0.5000 0.5000 0.5000
0.0000 0.0000 0.0000
```

Summary:
- E: -25.57 eV/cell
- SG: P4/mmm (123)
- Calculated volume: 21.82 Å³/atom
- Calculated formation energy: 1950 meV per atom

DFT (PBEsol) results for a geometry-optimized Ca3AsIr structure.

```
Ca3AsIr
1.0
-3.4663 0.5973 -3.9894
-3.9341 -1.6635 3.1692
-0.8918 5.0164 1.5260
Ca Ir As
3 1 1
Direct
0.5000 0.0000 0.0000
0.0000 0.0000 0.5000
0.0000 0.5000 0.0000
0.5000 0.5000 0.5000
0.0000 0.0000 0.0000
```

Summary:
- E: -20.84 eV/cell
- SG: Pm-3m (221)
- Calculated volume: 30.09 Å³/atom
- Calculated formation energy: 98 meV per atom